1.
First-principles (PBE) data for a geometry-optimized K2Cd2TcO6 structure, as listed in Alexandria via LeMat-Bulk.

Cell: 5.7172 5.7172 6.5061 Å, 99.43 99.43 117.91°
Element x y z (fractional)
K: 0.1757 0.8243 0.0000
K: 0.8243 0.1757 0.0000
Cd: 0.3381 0.6619 0.5000
Cd: 0.6619 0.3381 0.5000
Tc: 0.0000 0.0000 0.5000
O: 0.0563 0.3418 0.6783
O: 0.2129 0.2129 0.3215
O: 0.3418 0.0563 0.6783
O: 0.6582 0.9437 0.3217
O: 0.7871 0.7871 0.6785
O: 0.9437 0.6582 0.3217

DOS at the Fermi energy, states/eV per atom: 0.30
Magnetization, μB/cell: 0.5
SG: No. 12
Formation energy without anion corrections, eV per formula unit: -14.05
DFT total energy, eV per cell: -58.19

=====

2.
First-principles (PBE) data for a geometry-optimized KCdTc2O8 structure, as listed in Alexandria via LeMat-Bulk.

Cell: 6.1813 6.1813 6.8928 Å, 107.23 107.23 58.95°
Element x y z (fractional)
K: 0.0000 0.0000 0.0000
Cd: 0.5000 0.5000 0.5000
Tc: 0.2048 0.2048 0.6587
Tc: 0.7952 0.7952 0.3413
O: 0.0996 0.6238 0.2651
O: 0.1488 0.1488 0.3906
O: 0.3762 0.9004 0.7349
O: 0.3794 0.3794 0.7387
O: 0.6206 0.6206 0.2613
O: 0.6238 0.0996 0.2651
O: 0.8512 0.8512 0.6094
O: 0.9004 0.3762 0.7349

DOS at the Fermi energy, states/eV per atom: 0.53
Magnetization, μB/cell: 0.0
SG: No. 12
Formation energy without anion corrections, eV per formula unit: -17.07
DFT total energy, eV per cell: -79.48

=====

3.
First-principles (PBE) data for a geometry-optimized K2CdTcO4 structure, as listed in Alexandria via LeMat-Bulk.

Cell: 5.7543 5.7543 5.7543 Å, 115.36 115.36 98.25°
Element x y z (fractional)
K: 0.0000 0.0000 0.0000
K: 0.7500 0.2500 0.5000
Cd: 0.5000 0.5000 0.0000
Tc: 0.2500 0.7500 0.5000
O: 0.1757 0.5963 0.0995
O: 0.4037 0.5031 0.5794
O: 0.4969 0.0763 0.9005
O: 0.9237 0.8243 0.4206

DOS at the Fermi energy, states/eV per atom: 0.13
Magnetization, μB/cell: 0.9
SG: No. 82
Formation energy without anion corrections, eV per formula unit: -10.05
DFT total energy, eV per cell: -43.36

=====

4.
First-principles (PBE) data for a geometry-optimized K2CdTeO4 structure, as listed in Alexandria via LeMat-Bulk.

Cell: 7.1429 7.1429 7.5669 Å, 117.61 117.61 90.07°
Element x y z (fractional)
K: 0.0159 0.0159 0.2861
K: 0.5186 0.0017 0.7262
K: 0.9841 0.9841 0.7139
K: 0.9983 0.4814 0.2738
Cd: 0.4541 0.4706 0.1630
Cd: 0.5294 0.5459 0.8370
Te: 0.4788 0.0263 0.2044
Te: 0.9737 0.5212 0.7956
O: 0.1746 0.6710 0.1292
O: 0.2674 0.3026 0.7607
O: 0.2883 0.2253 0.1980
O: 0.3290 0.8254 0.8708
O: 0.6898 0.2095 0.2215
O: 0.6974 0.7326 0.2393
O: 0.7747 0.7117 0.8020
O: 0.7905 0.3102 0.7785

DOS at the Fermi energy, states/eV per atom: 0.00
Magnetization, μB/cell: 0.0
SG: No. 5
Formation energy without anion corrections, eV per formula unit: -10.32
DFT total energy, eV per cell: -72.81

=====

5.
First-principles (PBE) data for a geometry-optimized KCd2TeO6 structure, as listed in Alexandria via LeMat-Bulk.

Cell: 6.2089 6.2089 6.2089 Å, 55.41 55.41 55.41°
Element x y z (fractional)
K: 0.0000 0.0000 0.0000
Cd: 0.2696 0.2696 0.2696
Cd: 0.7903 0.7903 0.7903
Te: 0.4757 0.4757 0.4757
O: 0.1147 0.6300 0.4406
O: 0.2483 0.5468 0.8276
O: 0.4406 0.1147 0.6300
O: 0.5468 0.8276 0.2483
O: 0.6300 0.4406 0.1147
O: 0.8276 0.2483 0.5468

DOS at the Fermi energy, states/eV per atom: 0.60
Magnetization, μB/cell: 1.1
SG: No. 146
Formation energy without anion corrections, eV per formula unit: -10.63
DFT total energy, eV per cell: -46.45

=====

6.
First-principles (PBE) data for a geometry-optimized K3CdTe2O9 structure, as listed in Alexandria via LeMat-Bulk.

Cell: 5.8510 5.8510 7.2986 Å, 90.00 90.00 120.00°
Element x y z (fractional)
K: 0.0000 0.0000 0.0000
K: 0.3333 0.6667 0.6596
K: 0.6667 0.3333 0.3404
Cd: 0.0000 0.0000 0.5000
Te: 0.3333 0.6667 0.1655
Te: 0.6667 0.3333 0.8345
O: 0.0000 0.5000 0.0000
O: 0.1761 0.3521 0.3063
O: 0.1761 0.8239 0.3063
O: 0.3521 0.1761 0.6937
O: 0.5000 0.0000 0.0000
O: 0.5000 0.5000 0.0000
O: 0.6479 0.8239 0.3063
O: 0.8239 0.1761 0.6937
O: 0.8239 0.6479 0.6937

DOS at the Fermi energy, states/eV per atom: 0.66
Magnetization, μB/cell: 1.0
SG: No. 164
Formation energy without anion corrections, eV per formula unit: -17.12
DFT total energy, eV per cell: -72.24

=====

7.
First-principles (PBE) data for a geometry-optimized KCd2Te2O6 structure, as listed in Alexandria via LeMat-Bulk.

Cell: 5.5339 6.0028 7.1635 Å, 83.14 83.07 63.32°
Element x y z (fractional)
K: 0.0000 0.0000 0.0000
Cd: 0.3040 0.3053 0.3973
Cd: 0.6960 0.6947 0.6027
Te: 0.3285 0.3483 0.8526
Te: 0.6715 0.6517 0.1474
O: 0.1336 0.5997 0.6594
O: 0.3582 0.5894 0.1873
O: 0.3945 0.0904 0.6850
O: 0.6055 0.9096 0.3150
O: 0.6418 0.4106 0.8127
O: 0.8664 0.4003 0.3406

DOS at the Fermi energy, states/eV per atom: 0.29
Magnetization, μB/cell: 0.0
SG: No. 2
Formation energy without anion corrections, eV per formula unit: -11.10
DFT total energy, eV per cell: -50.06

=====

8.
First-principles (PBE) data for a geometry-optimized K2TiCdO4 structure, as listed in Alexandria via LeMat-Bulk.

Cell: 7.0076 6.9795 6.1133 Å, 90.00 90.00 90.00°
Element x y z (fractional)
K: 0.2474 0.1813 0.0000
K: 0.2526 0.8187 0.5000
K: 0.7474 0.8187 0.5000
K: 0.7526 0.1813 0.0000
Ti: 0.0000 0.6600 0.0088
Ti: 0.5000 0.3400 0.5088
Cd: 0.0000 0.3489 0.5056
Cd: 0.5000 0.6511 0.0056
O: 0.0000 0.4367 0.8534
O: 0.0000 0.6067 0.3000
O: 0.2200 0.8013 0.9484
O: 0.2800 0.1987 0.4484
O: 0.5000 0.3933 0.8000
O: 0.5000 0.5633 0.3534
O: 0.7200 0.1987 0.4484
O: 0.7800 0.8013 0.9484

DOS at the Fermi energy, states/eV per atom: 0.00
Magnetization, μB/cell: 0.0
SG: No. 31
Formation energy without anion corrections, eV per formula unit: -16.33
DFT total energy, eV per cell: -94.34

=====

9.
First-principles (PBE) data for a geometry-optimized K2TiCdO structure, as listed in Alexandria via LeMat-Bulk.

Cell: 6.7477 6.7477 5.3896 Å, 90.00 90.00 90.00°
Element x y z (fractional)
K: 0.0000 0.5000 0.0000
K: 0.5000 0.0000 0.0000
Ti: 0.0000 0.0000 0.0000
Cd: 0.0000 0.0000 0.5000
O: 0.5000 0.5000 0.5000

DOS at the Fermi energy, states/eV per atom: 2.38
Magnetization, μB/cell: 3.7
SG: No. 123
Formation energy without anion corrections, eV per formula unit: 5.06
DFT total energy, eV per cell: -10.91

=====

10.
First-principles (PBE) data for a geometry-optimized KTlCd2O4 structure, as listed in Alexandria via LeMat-Bulk.

Cell: 6.0904 6.0904 6.0904 Å, 124.53 124.53 82.32°
Element x y z (fractional)
K: 0.0000 0.0000 0.0000
Tl: 0.5000 0.5000 0.0000
Cd: 0.2500 0.7500 0.5000
Cd: 0.7500 0.2500 0.5000
O: 0.1385 0.1385 0.5644
O: 0.4259 0.8615 0.0000
O: 0.5741 0.5741 0.4356
O: 0.8615 0.4259 0.0000

Magnetization, μB/cell: 0.0
SG: No. 121
Formation energy without anion corrections, eV per formula unit: -7.73
DFT total energy, eV per cell: -32.86

=====

11.
First-principles (PBE) data for a geometry-optimized K2TmCd2O4 structure, as listed in Alexandria via LeMat-Bulk.

Cell: 6.6200 6.6200 9.1246 Å, 121.21 121.21 30.12°
Element x y z (fractional)
K: 0.1569 0.1569 0.2910
K: 0.8431 0.8431 0.7090
Tm: 0.5000 0.5000 0.5000
Cd: 0.1547 0.1547 0.8589
Cd: 0.8453 0.8453 0.1411
O: 0.1393 0.1393 0.5960
O: 0.4768 0.4768 0.2332
O: 0.5232 0.5232 0.7668
O: 0.8607 0.8607 0.4040

DOS at the Fermi energy, states/eV per atom: 0.26
Magnetization, μB/cell: 0.0
SG: No. 12
Formation energy without anion corrections, eV per formula unit: -15.61
DFT total energy, eV per cell: -43.94

=====

12.
First-principles (PBE) data for a geometry-optimized KTmCdO3 structure, as listed in Alexandria via LeMat-Bulk.

Cell: 7.4016 3.4078 9.6175 Å, 90.00 94.20 90.00°
Element x y z (fractional)
K: 0.1440 0.2500 0.2179
K: 0.8560 0.7500 0.7821
Tm: 0.3873 0.7500 0.8753
Tm: 0.6127 0.2500 0.1247
Cd: 0.1588 0.2500 0.5748
Cd: 0.8412 0.7500 0.4252
O: 0.1649 0.7500 0.4328
O: 0.2164 0.2500 0.8047
O: 0.4052 0.7500 0.0954
O: 0.5948 0.2500 0.9046
O: 0.7836 0.7500 0.1953
O: 0.8351 0.2500 0.5672

Magnetization, μB/cell: 0.0
SG: No. 11
Formation energy without anion corrections, eV per formula unit: -12.38
DFT total energy, eV per cell: -67.48

=====

13.
First-principles (PBE) data for a geometry-optimized K2UCdO6 structure, as listed in Alexandria via LeMat-Bulk.

Cell: 6.0642 6.0642 6.0642 Å, 120.02 119.92 90.06°
Element x y z (fractional)
K: 0.2499 0.2499 0.0000
K: 0.7501 0.7501 0.0000
U: 0.5000 0.0000 0.5000
Cd: 0.0000 0.5000 0.5000
O: 0.2633 0.7633 0.5000
O: 0.2639 0.2363 0.5002
O: 0.2639 0.7637 0.0276
O: 0.7361 0.2363 0.9724
O: 0.7361 0.7637 0.4998
O: 0.7367 0.2367 0.5000

DOS at the Fermi energy, states/eV per atom: 0.67
Magnetization, μB/cell: 0.0
SG: No. 71
Formation energy without anion corrections, eV per formula unit: -19.31
DFT total energy, eV per cell: -63.45

=====

14.
First-principles (PBE) data for a geometry-optimized KUCd2O6 structure, as listed in Alexandria via LeMat-Bulk.

Cell: 7.1174 7.1174 7.7477 Å, 114.36 114.36 68.26°
Element x y z (fractional)
K: 0.2488 0.7512 0.7500
K: 0.7512 0.2488 0.2500
U: 0.2506 0.7494 0.2500
U: 0.7494 0.2506 0.7500
Cd: 0.2504 0.2503 0.2495
Cd: 0.2503 0.2504 0.7495
Cd: 0.7497 0.7496 0.2505
Cd: 0.7496 0.7497 0.7505
O: 0.0351 0.1667 0.9423
O: 0.0924 0.5927 0.3337
O: 0.1667 0.0351 0.4423
O: 0.3342 0.4623 0.0585
O: 0.4073 0.9076 0.1663
O: 0.4623 0.3342 0.5585
O: 0.5377 0.6658 0.4415
O: 0.5927 0.0924 0.8337
O: 0.6658 0.5377 0.9415
O: 0.8333 0.9649 0.5577
O: 0.9076 0.4073 0.6663
O: 0.9649 0.8333 0.0577

DOS at the Fermi energy, states/eV per atom: 0.51
Magnetization, μB/cell: 0.0
SG: No. 15
Formation energy without anion corrections, eV per formula unit: -18.10
DFT total energy, eV per cell: -124.13